First-principles (PBE-GGA) data for a geometry-optimized Ge4Ru structure, as listed in the Alexandria database.

Cell and atoms, written as POSCAR:
```
Ge4Ru
1.0
4.780 0.000 0.000
0.000 4.780 0.000
0.000 0.000 4.780
Ge Ru
4 1
Cartesian
0.000 0.000 0.000 Ge
0.000 2.390 2.390 Ge
2.390 0.000 2.390 Ge
2.390 2.390 0.000 Ge
2.390 2.390 2.390 Ru
```

Summary:
DOS(E_F) = 4.75 states/eV/f.u.
symmetry = Pm-3m
energy of formation = 0.390 eV/atom

First-principles (PBE-GGA) data for a geometry-optimized Be2Cl structure, as listed in the Alexandria database.

Cell and atoms, written as POSCAR:
```
Be2Cl
1.0
0.000 2.893 2.893
2.893 0.000 2.893
2.893 2.893 0.000
Be Cl
2 1
Cartesian
1.446 1.446 1.446 Be
4.339 4.339 4.339 Be
0.000 0.000 0.000 Cl
```

Summary:
formation energy from raw total energies = 1.447 eV/atom
DOS(E_F) = 1.19 states/eV/f.u.
symmetry = Fm-3m
energy relative to the lowest polymorph listed for this composition = 1780 meV per atom

First-principles (PBE-GGA) data for a geometry-optimized HfSc2Pa structure, as listed in the Alexandria database.

Cell and atoms, written as POSCAR:
```
HfSc2Pa
1.0
1.602 0.925 10.655
-1.602 0.925 10.655
0.000 -1.850 10.655
Hf Sc Pa
1 2 1
Cartesian
0.000 0.000 0.000 Hf
0.000 0.000 8.048 Sc
0.000 0.000 23.918 Sc
0.000 0.000 15.983 Pa
```

Summary:
DOS(E_F) = 6.79 states/eV/f.u.
symmetry = R-3m
energy of formation = 0.082 eV/atom
energy relative to the lowest polymorph listed for this composition = 26 meV per atom

First-principles (PBE-GGA) data for a geometry-optimized Nd6Tl2Au structure, as listed in the Alexandria database.

Cell and atoms, written as POSCAR:
```
Nd6Tl2Au
1.0
10.328 0.000 0.000
0.000 10.328 0.000
0.000 0.000 5.215
Nd Tl Au
12 4 2
Cartesian
0.213 3.279 0.000 Nd
1.234 9.094 2.607 Nd
1.885 5.377 2.607 Nd
3.279 0.213 0.000 Nd
3.930 3.930 0.000 Nd
4.951 8.443 2.607 Nd
5.377 1.885 2.607 Nd
6.398 6.398 0.000 Nd
7.049 10.115 0.000 Nd
8.443 4.951 2.607 Nd
9.094 1.234 2.607 Nd
10.115 7.049 0.000 Nd
2.099 2.099 2.607 Tl
3.065 7.263 0.000 Tl
7.263 3.065 0.000 Tl
8.229 8.229 2.607 Tl
0.000 0.000 0.000 Au
5.164 5.164 2.607 Au
```

Summary:
DOS(E_F) = 11.38 states/eV/f.u.
symmetry = P4_2/mnm
energy of formation = -0.317 eV/atom
energy relative to the lowest polymorph listed for this composition = 37 meV per atom

First-principles (PBE-GGA) data for a geometry-optimized Dy2Tm12Th5 structure, as listed in the Alexandria database.

Cell and atoms, written as POSCAR:
```
Dy2Tm12Th5
1.0
9.264 -3.506 0.000
9.264 3.506 0.000
-4.018 0.000 9.255
Dy Tm Th
2 12 5
Cartesian
9.264 2.000 0.000 Dy
9.264 -2.000 0.000 Dy
-1.226 0.000 2.995 Tm
4.238 1.736 4.506 Tm
5.802 1.722 1.274 Tm
8.707 1.722 7.981 Tm
10.272 1.736 4.749 Tm
5.699 0.000 7.077 Tm
8.811 0.000 2.178 Tm
4.238 -1.736 4.506 Tm
5.802 -1.722 1.274 Tm
8.707 -1.722 7.981 Tm
10.272 -1.736 4.749 Tm
15.735 0.000 6.260 Tm
2.493 0.000 1.946 Th
2.508 0.000 7.554 Th
7.255 0.000 4.627 Th
12.002 0.000 1.701 Th
12.016 0.000 7.309 Th
```

Summary:
DOS(E_F) = 29.44 states/eV/f.u.
symmetry = C2/m
energy of formation = 0.217 eV/atom
energy relative to the lowest polymorph listed for this composition = 65 meV per atom

First-principles (PBE-GGA) data for a geometry-optimized Na2Li2Y structure, as listed in the Alexandria database.

Cell and atoms, written as POSCAR:
```
Na2Li2Y
1.0
9.097 0.000 0.000
0.000 9.097 0.000
0.000 0.000 3.408
Na Li Y
4 4 2
Cartesian
1.555 2.993 0.000 Na
2.993 7.542 0.000 Na
6.104 1.555 0.000 Na
7.542 6.104 0.000 Na
1.169 5.718 1.704 Li
3.380 1.169 1.704 Li
5.718 7.928 1.704 Li
7.928 3.380 1.704 Li
0.000 0.000 1.704 Y
4.549 4.549 1.704 Y
```

Summary:
DOS(E_F) = 2.91 states/eV/f.u.
symmetry = P4/mbm
energy of formation = 0.220 eV/atom
energy relative to the lowest polymorph listed for this composition = 17 meV per atom

First-principles (PBE-GGA) data for a geometry-optimized InBrF3 structure, as listed in the Alexandria database.

Cell and atoms, written as POSCAR:
```
InBrF3
1.0
4.315 0.000 0.000
0.000 4.315 0.000
0.000 0.000 4.315
In Br F
1 1 3
Cartesian
0.000 0.000 0.000 In
2.158 2.158 2.158 Br
0.000 0.000 2.158 F
0.000 2.158 0.000 F
2.158 0.000 0.000 F
```

Summary:
formation energy from raw total energies = -1.613 eV/atom
DOS(E_F) = 7.34 states/eV/f.u.
symmetry = Pm-3m
energy relative to the lowest polymorph listed for this composition = 0 meV per atom

First-principles (PBE-GGA) data for a geometry-optimized HgSeS3 structure, as listed in the Alexandria database.

Cell and atoms, written as POSCAR:
```
HgSeS3
1.0
7.589 0.000 0.000
0.000 5.603 0.000
-3.312 0.000 7.222
Hg Se S
2 2 6
Cartesian
-0.784 0.000 1.946 Hg
5.061 2.802 5.276 Hg
-0.302 3.765 4.460 Se
4.579 0.964 2.762 Se
1.211 5.427 0.558 S
1.031 2.002 4.088 S
2.535 4.083 1.355 S
1.742 1.281 5.867 S
3.246 4.804 3.135 S
3.066 2.626 6.664 S
```

Summary:
formation energy from raw total energies = 0.014 eV/atom
symmetry = P2_1
energy relative to the lowest polymorph listed for this composition = 0 meV per atom

First-principles (PBE-GGA) data for a geometry-optimized Ba2AgGe3Au12 structure, as listed in the Alexandria database.

Cell and atoms, written as POSCAR:
```
Ba2AgGe3Au12
1.0
4.485 2.589 7.004
-4.485 2.589 7.004
0.000 -5.179 7.004
Ba Ag Ge Au
2 1 3 12
Cartesian
0.000 0.000 2.315 Ba
0.000 0.000 18.696 Ba
0.000 0.000 10.505 Ag
-2.242 -1.295 7.004 Ge
-2.242 1.295 14.007 Ge
0.000 2.589 7.004 Ge
-2.191 -1.265 9.732 Au
0.000 -1.808 5.826 Au
-1.566 0.904 5.826 Au
0.000 -2.531 11.278 Au
-2.191 1.265 11.278 Au
-1.566 -0.904 15.185 Au
1.566 0.904 5.826 Au
2.191 -1.265 9.732 Au
0.000 2.531 9.732 Au
1.566 -0.904 15.185 Au
0.000 1.808 15.185 Au
2.191 1.265 11.278 Au
```

Summary:
DOS(E_F) = 4.11 states/eV/f.u.
symmetry = R-3m
energy of formation = -0.060 eV/atom

First-principles (PBE-GGA) data for a geometry-optimized LaCeN2 structure, as listed in the Alexandria database.

Cell and atoms, written as POSCAR:
```
LaCeN2
1.0
1.789 1.033 6.170
-1.789 1.033 6.170
0.000 -2.066 6.170
La Ce N
1 1 2
Cartesian
0.000 0.000 0.000 La
0.000 0.000 3.178 Ce
0.000 0.000 10.803 N
0.000 0.000 14.194 N
```

Summary:
formation energy from raw total energies = -1.269 eV/atom
DOS(E_F) = 3.37 states/eV/f.u.
symmetry = R3m

First-principles (PBE-GGA) data for a geometry-optimized Zn2InSe structure, as listed in the Alexandria database.

Cell and atoms, written as POSCAR:
```
Zn2InSe
1.0
1.900 -2.995 0.000
1.900 2.995 0.000
0.000 0.000 7.875
Zn In Se
2 1 1
Cartesian
0.000 0.000 1.724 Zn
0.000 0.000 6.152 Zn
1.900 0.000 3.938 In
1.900 0.000 0.000 Se
```

Summary:
formation energy from raw total energies = 0.032 eV/atom
DOS(E_F) = 0.93 states/eV/f.u.
symmetry = Cmmm
energy relative to the lowest polymorph listed for this composition = 152 meV per atom

First-principles (PBE-GGA) data for a geometry-optimized Zr12Zn3Ag structure, as listed in the Alexandria database.

Cell and atoms, written as POSCAR:
```
Zr12Zn3Ag
1.0
4.362 0.000 0.000
0.000 4.362 0.000
0.000 0.000 17.554
Zr Zn Ag
12 3 1
Cartesian
0.000 0.000 0.000 Zr
0.000 0.000 4.361 Zr
0.000 0.000 8.777 Zr
0.000 0.000 13.193 Zr
0.000 2.181 2.173 Zr
0.000 2.181 6.521 Zr
0.000 2.181 11.033 Zr
0.000 2.181 15.381 Zr
2.181 0.000 2.173 Zr
2.181 0.000 6.521 Zr
2.181 0.000 11.033 Zr
2.181 0.000 15.381 Zr
2.181 2.181 0.000 Zn
2.181 2.181 4.353 Zn
2.181 2.181 13.201 Zn
2.181 2.181 8.777 Ag
```

Summary:
DOS(E_F) = 18.60 states/eV/f.u.
symmetry = P4/mmm
energy of formation = -0.092 eV/atom

| no. | M_tot (μB/cell) |
| --- | --- |
| 1 | 0.00 |
| 2 | 0.00 |
| 3 | 0.00 |
| 4 | 0.00 |
| 5 | 0.00 |
| 6 | 0.00 |
| 7 | 1.00 |
| 8 | 0.00 |
| 9 | 0.00 |
| 10 | 0.02 |
| 11 | 0.00 |
| 12 | 0.00 |